Record 1
First-principles (PBE) data for Pm4Y3In2 after structural relaxation, as listed in Alexandria via LeMat-Bulk.

Summary:
* crystal system: triclinic
* DFT formation energy: -0.20 eV per atom
* size of the total moment: 0.0 μB/f.u.
* symmetry: P-1

Cell and atoms, written as POSCAR:
```
Pm4Y3In2
1.0
-4.052 0.479 -3.526
0.735 -3.968 -5.509
-4.329 -8.583 -0.304
Y In Pm
3 2 4
Cartesian
0.000 0.000 0.000 Y
-5.015 -6.040 -3.300 Y
-2.630 -6.032 -6.039 Y
-4.512 -2.734 -3.427 In
-3.134 -9.338 -5.912 In
-5.225 -9.617 -3.538 Pm
-5.995 -7.506 -6.494 Pm
-2.420 -2.455 -5.802 Pm
-1.651 -4.566 -2.845 Pm
```


Record 2
First-principles (PBE) data for Pm4YIn after structural relaxation, as listed in Alexandria via LeMat-Bulk.

Summary:
* crystal system: monoclinic
* DFT formation energy: -0.07 eV per atom
* E above lowest polymorph: 12 meV per atom
* size of the total moment: 0.0 μB/f.u.
* symmetry: C2/c

Cell and atoms, written as POSCAR:
```
Pm4YIn
1.0
-1.764 3.131 -4.739
-1.181 -8.390 1.849
-6.678 4.755 5.884
Pm Y In
8 2 2
Cartesian
-4.559 0.321 0.002 Pm
-5.313 4.867 -0.190 Pm
-7.761 -0.501 5.049 Pm
-4.310 -5.371 3.184 Pm
-3.053 -3.407 -2.612 Pm
-5.065 -0.826 2.992 Pm
-1.862 -0.003 -2.055 Pm
-6.571 2.903 5.606 Pm
-3.118 -2.868 0.876 Y
-6.505 2.364 2.117 Y
-3.493 2.914 -2.373 In
-6.131 -3.418 5.366 In
```


Record 3
First-principles (PBE) data for Pm5YIn6 after structural relaxation, as listed in Alexandria via LeMat-Bulk.

Summary:
* crystal system: orthorhombic
* DFT formation energy: -0.49 eV per atom
* size of the total moment: 0.0 μB/f.u.
* symmetry: Immm

Cell and atoms, written as POSCAR:
```
Pm5YIn6
1.0
-2.440 1.754 -4.108
-1.217 -9.051 0.011
-3.811 4.150 7.187
In Pm Y
6 5 1
Cartesian
-1.424 -2.959 -0.416 In
-6.043 -0.188 3.506 In
-4.409 -3.250 4.385 In
-3.058 0.103 -1.294 In
-2.280 1.397 1.952 In
-5.187 -4.544 1.138 In
-3.734 -1.573 1.545 Pm
-4.594 2.808 3.927 Pm
-4.523 -2.885 -1.698 Pm
-2.873 -5.955 -0.837 Pm
-2.944 -0.262 4.789 Pm
0.000 0.000 0.000 Y
```


Record 4
First-principles (PBE) data for Pm2Y3In2 after structural relaxation, as listed in Alexandria via LeMat-Bulk.

Summary:
* crystal system: monoclinic
* DFT formation energy: -0.28 eV per atom
* size of the total moment: 0.0 μB/f.u.
* symmetry: C2/m

Cell and atoms, written as POSCAR:
```
Pm2Y3In2
1.0
5.462 0.001 -0.001
-2.730 4.716 -0.176
-0.002 -2.857 8.246
In Y Pm
2 3 2
Cartesian
0.000 1.617 1.191 In
2.730 0.243 6.879 In
2.731 0.000 -0.001 Y
2.730 0.133 3.717 Y
-0.001 1.727 4.352 Y
2.730 3.221 2.048 Pm
-0.001 -1.360 6.021 Pm
```


Record 5
First-principles (PBE) data for PmY6In after structural relaxation, as listed in Alexandria via LeMat-Bulk.

Summary:
* crystal system: trigonal
* DFT formation energy: -0.02 eV per atom
* E above lowest polymorph: 94 meV per atom
* size of the total moment: 0.0 μB/f.u.
* symmetry: R-3

Cell and atoms, written as POSCAR:
```
PmY6In
1.0
-6.173 -0.988 6.870
-5.815 -6.398 0.134
-1.478 -4.411 4.314
Y In Pm
6 1 1
Cartesian
-8.452 -8.924 6.775 Y
-2.087 -1.642 2.802 Y
-11.379 -10.155 8.515 Y
-5.015 -2.873 4.543 Y
-3.989 -6.256 3.529 Y
-9.478 -5.541 7.788 Y
0.000 0.000 0.000 In
-6.733 -5.898 5.659 Pm
```


Record 6
First-principles (PBE) data for Pm7Y3In after structural relaxation, as listed in Alexandria via LeMat-Bulk.

Summary:
* crystal system: trigonal
* DFT formation energy: 0.10 eV per atom
* size of the total moment: 0.0 μB/f.u.
* symmetry: P3m1

Cell and atoms, written as POSCAR:
```
Pm7Y3In
1.0
-2.738 1.429 -8.055
-6.650 0.634 2.372
4.177 5.712 -0.407
Pm Y In
7 3 1
Cartesian
-3.346 2.486 0.548 Pm
2.018 5.026 -0.906 Pm
-6.044 2.133 -1.705 Pm
-1.260 5.338 0.263 Pm
-0.041 2.210 -0.706 Pm
-3.987 4.946 -1.906 Pm
-2.769 1.821 -2.874 Pm
-3.369 4.288 -5.300 Y
-1.283 7.141 -5.503 Y
-0.048 3.971 -6.484 Y
-0.690 4.676 -3.182 In
```


Record 7
First-principles (PBE) data for Pm6YIn after structural relaxation, as listed in Alexandria via LeMat-Bulk.

Summary:
* crystal system: tetragonal
* DFT formation energy: -0.12 eV per atom
* size of the total moment: 0.0 μB/f.u.
* symmetry: P4/mmm

Cell and atoms, written as POSCAR:
```
Pm6YIn
1.0
-2.787 -4.093 0.705
-0.388 -0.589 -4.951
8.510 -5.791 0.021
Pm Y In
6 1 1
Cartesian
-1.588 -2.341 -2.123 Pm
6.251 -4.680 -2.460 Pm
2.668 -5.236 -2.113 Pm
1.870 -1.699 -2.471 Pm
0.671 -3.451 0.358 Pm
5.052 -6.432 0.368 Pm
4.255 -2.895 0.010 Y
0.000 0.000 0.000 In
```


Record 8
First-principles (PBE) data for Pm2YZn2In2 after structural relaxation, as listed in Alexandria via LeMat-Bulk.

Summary:
* crystal system: trigonal
* DFT formation energy: -0.30 eV per atom
* size of the total moment: 0.0 μB/f.u.
* symmetry: R-3m

Cell and atoms, written as POSCAR:
```
Pm2YZn2In2
1.0
4.721 0.000 0.000
2.361 4.089 0.000
2.361 1.363 9.324
Zn Pm In Y
2 2 2 1
Cartesian
4.721 2.726 1.703 Zn
4.721 2.726 7.621 Zn
2.361 1.363 5.771 Pm
7.082 4.089 3.553 Pm
7.082 4.089 7.448 In
2.361 1.363 1.875 In
0.000 0.000 0.000 Y
```